Tl2MoCl, single point on PBEsol structure, DFT meta-GGA SCAN; ΔE_f (raw) = 0.596 eV/atom; relative energy among the computed polymorphs = 0.241 eV per atom; final energy = -46.299 eV per atom
1.0
-0.6869 -1.2142 4.7933
3.2583 -2.9967 2.3075
3.0408 1.8453 3.5029
Tl Mo Cl
2 1 1
Direct
0.0000 0.0000 0.0000
0.7500 0.7500 0.7500
0.2500 0.2500 0.2500
0.5000 0.5000 0.5000